# 1
Ba2Ce2Te5: optimized geometry, PBE.

symmetry = Cmce (64)

Lattice parameters (Å, degrees): 8.792 8.773 9.536 117.39 90.00 90.00
Atoms (fractional coordinates):
Te1 0.651 0.027 0.750
Te2 0.000 0.000 0.000
Te3 0.849 0.527 0.750
Te4 0.651 0.277 0.250
Te5 0.500 0.500 0.000
Te6 0.349 0.723 0.750
Te7 0.151 0.223 0.750
Te8 0.151 0.473 0.250
Te9 0.849 0.777 0.250
Te10 0.349 0.973 0.250
Ba1 0.000 0.801 0.602
Ba2 0.000 0.199 0.398
Ba3 0.500 0.301 0.602
Ba4 0.500 0.699 0.398
Ce1 0.653 0.847 0.000
Ce2 0.153 0.653 0.000
Ce3 0.347 0.153 0.000
Ce4 0.847 0.347 0.000

# 2
BaCeTe2: optimized geometry, PBE.

E above lowest polymorph = 0.071 eV per atom
symmetry = R3m (160)

Lattice parameters (Å, degrees): 4.595 4.595 8.705 74.70 74.70 60.00
Atoms (fractional coordinates):
Ba1 0.497 0.497 0.510
Ce1 0.669 0.669 0.992
Te1 0.075 0.075 0.775
Te2 0.259 0.259 0.223

# 3
BaCeTe3: optimized geometry, PBE.

E above lowest polymorph = 0.189 eV per atom
symmetry = Pmmm (47)

Lattice parameters (Å, degrees): 4.494 5.831 7.677 90.00 90.00 90.00
Atoms (fractional coordinates):
Te1 0.500 0.000 0.278
Te2 0.500 0.000 0.722
Te3 0.000 0.500 0.000
Ce1 0.000 0.000 0.000
Ba1 0.000 0.500 0.500

# 4
Ba3CeY3Te8: optimized geometry, PBE.

symmetry = R-3m (166)

Lattice parameters (Å, degrees): 9.064 9.059 9.532 118.38 90.00 120.00
Atoms (fractional coordinates):
Te1 0.246 0.493 0.721
Te2 0.753 0.026 0.279
Te3 0.739 0.478 0.716
Te4 0.272 0.026 0.279
Te5 0.754 0.507 0.279
Te6 0.261 0.522 0.284
Te7 0.247 0.974 0.721
Te8 0.728 0.974 0.721
Y1 0.500 0.500 0.500
Y2 0.500 0.000 0.500
Y3 0.000 0.500 0.500
Ba1 0.500 0.500 0.000
Ba2 0.000 0.000 0.000
Ba3 0.000 0.500 0.000
Ce1 0.000 0.000 0.500

Looking at density of states at the Fermi level for the records above, in order, we have 23.7 8.8 0.4 12.0 states/eV/cell.
Looking at E for the records above, in order, we have -90.55 -20.00 -23.39 -79.16 eV for the cell shown.